[1]
The following is a DFT calculation (PBE) of an optimized crystal structure of Tl2CrAs.

Cell lengths 3.5918, 4.7745, 11.5888 Å; angles 90.00, 90.00, 90.00 degrees
Space group Imm2 (No. 44)
Inequivalent atoms, fractional coordinates:
Tl  0.0000  0.0000  0.0000
Tl  0.0000  0.5000  0.2119
Cr  0.0000  0.0000  0.4530
As  0.0000  0.5000  0.8075

Results
- DFT total energy: -35.74 eV/cell
- ΔE_f: 0.284 eV per atom

---

[2]
The following is a DFT calculation (PBE) of an optimized crystal structure of Sb2SNF11.

Cell lengths 8.2157, 11.9239, 10.6128 Å; angles 90.00, 93.08, 90.00 degrees
Space group P2_1/c (No. 14)
Inequivalent atoms, fractional coordinates:
Sb  0.1731  0.2215  0.4502
Sb  0.3221  0.5536  0.7710
S  0.2055  0.5404  0.2742
N  0.2534  0.6038  0.3845
F  0.0181  0.6849  0.1533
F  0.0661  0.1715  0.0465
F  0.0943  0.5498  0.7213
F  0.1276  0.0976  0.5554
F  0.2299  0.1705  0.8254
F  0.2742  0.6003  0.9352
F  0.2875  0.1094  0.3347
F  0.3584  0.7002  0.7122
F  0.3711  0.0166  0.1173
F  0.3817  0.2397  0.5323
F  0.4547  0.0263  0.6710

Results
- DFT total energy: -277.48 eV/cell
- Formation energy without anion corrections: -28.088 eV/f.u.

---

[3]
The following is a DFT calculation (PBE) of an optimized crystal structure of CaTeAu2.

Cell lengths 12.3669, 4.2227, 4.3228 Å; angles 90.00, 100.74, 90.00 degrees
Space group Cm (No. 8)
Inequivalent atoms, fractional coordinates:
Ca  0.0000  0.0000  0.0000
Te  0.2599  0.0000  0.8443
Au  0.1163  0.5000  0.6349
Au  0.4020  0.0000  0.4098

Results
- DFT total energy: -28.08 eV/cell
- Formation energy without anion corrections: -2.342 eV/f.u.

---

[4]
The following is a DFT calculation (PBE) of an optimized crystal structure of Rb4Cu3PbF12.

Cell lengths 8.6365, 8.6365, 8.6365 Å; angles 90.00, 90.00, 90.00 degrees
Space group Im-3m (No. 229)
Inequivalent atoms, fractional coordinates:
Rb  0.2500  0.2500  0.2500
Cu  0.0000  0.0000  0.5000
Pb  0.0000  0.0000  0.0000
F  0.0000  0.0000  0.2747
F  0.0000  0.2500  0.5000

Results
- DFT total energy: -171.27 eV/cell
- Formation energy without anion corrections: -43.311 eV/f.u.

---

[5]
The following is a DFT calculation (PBE) of an optimized crystal structure of RbGeSb.

Cell lengths 3.7906, 3.7906, 13.1243 Å; angles 90.00, 90.00, 90.00 degrees
Space group I4mm (No. 107)
Inequivalent atoms, fractional coordinates:
Rb  0.0000  0.0000  0.0000
Ge  0.0000  0.0000  0.2999
Sb  0.0000  0.0000  0.7101

Results
- DFT total energy: -20.08 eV/cell
- Formation energy without anion corrections: -0.335 eV/f.u.

---

[6]
The following is a DFT calculation (PBE) of an optimized crystal structure of TiCrSbW2.

Cell lengths 4.5801, 4.5801, 4.4629 Å; angles 90.00, 90.00, 90.00 degrees
Space group P4/mmm (No. 123)
Inequivalent atoms, fractional coordinates:
Ti  0.0000  0.0000  0.0000
Cr  0.0000  0.0000  0.5000
Sb  0.5000  0.5000  0.0000
W  0.0000  0.5000  0.5000

Results
- DFT total energy: -42.51 eV/cell
- Formation energy without anion corrections: 5.042 eV/f.u.

---

[7]
The following is a DFT calculation (PBE) of an optimized crystal structure of BaTe2P.

Cell lengths 5.5355, 5.5355, 24.2459 Å; angles 90.00, 90.00, 120.00 degrees
Space group R-3m (No. 166, hexagonal axes)
Inequivalent atoms, fractional coordinates:
Ba  0.0000  0.0000  0.0000
Te  0.0000  0.0000  0.3938
P  0.0000  0.0000  0.5000

Results
- DFT total energy: -42.96 eV/cell
- Formation energy without anion corrections: -0.706 eV/f.u.

---

[8]
The following is a DFT calculation (PBE) of an optimized crystal structure of SnHF5.

Cell lengths 9.6678, 6.1634, 7.8234 Å; angles 90.00, 119.85, 90.00 degrees
Space group Cc (No. 9)
Inequivalent atoms, fractional coordinates:
Sn  0.0000  0.0003  0.0000
H  0.0000  0.3167  0.2502
F  0.0000  0.1218  0.7499
F  0.0383  0.3024  0.4151
F  0.2252  0.0480  0.1545
F  0.2748  0.4528  0.8454
F  0.4616  0.1974  0.5852

Results
- DFT total energy: -126.62 eV/cell

---

[9]
The following is a DFT calculation (PBE) of an optimized crystal structure of Ge3IrPt.

Cell lengths 4.7388, 4.7388, 4.7388 Å; angles 90.00, 90.00, 90.00 degrees
Space group Pm-3m (No. 221)
Inequivalent atoms, fractional coordinates:
Ge  0.0000  0.0000  0.5000
Ir  0.0000  0.0000  0.0000
Pt  0.5000  0.5000  0.5000

Results
- DFT total energy: -26.65 eV/cell
- ΔE_f: 0.422 eV per atom

---

[10]
The following is a DFT calculation (PBE) of an optimized crystal structure of AlTl.

Cell lengths 10.7052, 10.7052, 3.6821 Å; angles 90.00, 90.00, 90.00 degrees
Space group I4/m (No. 87)
Inequivalent atoms, fractional coordinates:
Al  0.0849  0.6064  0.0000
Tl  0.1230  0.1790  0.0000

Results
- DFT total energy: -45.61 eV/cell
- ΔE_f: 0.204 eV per atom

---

[11]
The following is a DFT calculation (PBE) of an optimized crystal structure of TiNiGe.

Cell lengths 6.2627, 3.7510, 7.1673 Å; angles 90.00, 90.00, 90.00 degrees
Space group Pnma (No. 62)
Inequivalent atoms, fractional coordinates:
Ti  0.0259  0.2500  0.1868
Ni  0.1384  0.2500  0.5594
Ge  0.2434  0.7500  0.3786

Results
- DFT total energy: -81.31 eV/cell
- ΔE_f: -0.678 eV per atom

---

[12]
The following is a DFT calculation (PBE) of an optimized crystal structure of BaZnNiRh.

Cell lengths 4.3775, 4.3775, 16.5737 Å; angles 90.00, 90.00, 120.00 degrees
Space group R3m (No. 160, hexagonal axes)
Inequivalent atoms, fractional coordinates:
Ba  0.0000  0.0000  0.0000
Zn  0.0000  0.0000  0.4976
Ni  0.0000  0.0000  0.1780
Rh  0.0000  0.0000  0.8170

Results
- DFT total energy: -51.86 eV/cell
- ΔE_f: -0.240 eV per atom

---

[13]
The following is a DFT calculation (PBE) of an optimized crystal structure of Th2TcSnC.

Cell lengths 7.6095, 3.7474, 8.6090 Å; angles 90.00, 109.70, 90.00 degrees
Space group P2_1/m (No. 11)
Inequivalent atoms, fractional coordinates:
Th  0.1472  0.2500  0.3892
Th  0.2159  0.7500  0.0082
Tc  0.2078  0.2500  0.7203
Sn  0.4664  0.7500  0.7119
C  0.0102  0.7500  0.1762

Results
- DFT total energy: -79.73 eV/cell
- ΔE_f: -0.287 eV per atom

---

[14]
The following is a DFT calculation (PBE) of an optimized crystal structure of SrCd2Te.

Cell lengths 4.7448, 4.7448, 20.8696 Å; angles 90.00, 90.00, 120.00 degrees
Space group R-3m (No. 166, hexagonal axes)
Inequivalent atoms, fractional coordinates:
Sr  0.0000  0.0000  0.0000
Cd  0.0000  0.0000  0.2388
Te  0.0000  0.0000  0.5000

Results
- DFT total energy: -24.34 eV/cell
- Formation energy without anion corrections: -1.460 eV/f.u.

---

[15]
The following is a DFT calculation (PBE) of an optimized crystal structure of NdMnCuGe2.

Cell lengths 4.1487, 4.1487, 10.6211 Å; angles 90.00, 90.00, 90.00 degrees
Space group I-4m2 (No. 119)
Inequivalent atoms, fractional coordinates:
Nd  0.0000  0.0000  0.0000
Mn  0.0000  0.5000  0.7500
Cu  0.0000  0.5000  0.2500
Ge  0.0000  0.0000  0.3787

Results
- DFT total energy: -59.30 eV/cell
- ΔE_f: -0.476 eV per atom

---

[16]
The following is a DFT calculation (PBE) of an optimized crystal structure of Li6Ac3Bi5.

Cell lengths 4.7346, 14.4177, 11.0861 Å; angles 90.00, 90.00, 90.00 degrees
Space group Pmmn (No. 59, origin choice 2)
Inequivalent atoms, fractional coordinates:
Li  0.2500  0.0693  0.1002
Li  0.2500  0.2500  0.5092
Li  0.2500  0.2500  0.9837
Li  0.2500  0.5884  0.4955
Ac  0.2500  0.0754  0.7581
Ac  0.2500  0.7500  0.7491
Bi  0.2500  0.0855  0.3558
Bi  0.2500  0.6165  0.0090
Bi  0.2500  0.7500  0.3338

Results
- DFT total energy: -105.97 eV/cell
- ΔE_f: -0.698 eV per atom

---

[17]
The following is a DFT calculation (PBE) of an optimized crystal structure of PuTh4Sb5.

Cell lengths 4.5065, 6.3560, 22.4234 Å; angles 90.00, 90.00, 90.00 degrees
Space group Immm (No. 71)
Inequivalent atoms, fractional coordinates:
Pu  0.0000  0.0000  0.0000
Th  0.0000  0.0000  0.1984
Th  0.0000  0.0000  0.4005
Sb  0.0000  0.5000  0.0000
Sb  0.0000  0.5000  0.2006
Sb  0.0000  0.5000  0.4021

Results
- DFT total energy: -146.73 eV/cell
- Formation energy without anion corrections: -8.743 eV/f.u.

---

[18]
The following is a DFT calculation (PBE) of an optimized crystal structure of NbTl3Ag2Se6.

Cell lengths 7.1349, 12.1862, 7.4663 Å; angles 90.00, 109.40, 90.00 degrees
Space group C2/m (No. 12)
Inequivalent atoms, fractional coordinates:
Nb  0.0000  0.0000  0.0000
Tl  0.0000  0.1610  0.5000
Tl  0.0000  0.5000  0.5000
Ag  0.0000  0.3309  0.0000
Se  0.2198  0.1557  0.2091
Se  0.2469  0.0000  0.8004

Results
- DFT total energy: -95.12 eV/cell
- Formation energy without anion corrections: -3.783 eV/f.u.

---

[19]
The following is a DFT calculation (PBE) of an optimized crystal structure of CrSn2Te.

Cell lengths 6.6697, 6.6697, 12.6869 Å; angles 90.00, 90.00, 90.00 degrees
Space group I-42d (No. 122)
Inequivalent atoms, fractional coordinates:
Cr  0.0000  0.0000  0.0000
Sn  0.2181  0.2500  0.1250
Te  0.0000  0.0000  0.5000

Results
- DFT total energy: -75.41 eV/cell
- Formation energy without anion corrections: 1.919 eV/f.u.

---

[20]
The following is a DFT calculation (PBE) of an optimized crystal structure of Er3AlNi3.

Cell lengths 4.0713, 9.8818, 13.0675 Å; angles 90.00, 90.00, 90.00 degrees
Space group Cmcm (No. 63)
Inequivalent atoms, fractional coordinates:
Er  0.0000  0.0067  0.2500
Er  0.0000  0.2892  0.1047
Al  0.0000  0.0000  0.0000
Ni  0.0000  0.2882  0.7500
Ni  0.0000  0.4221  0.5894

Results
- DFT total energy: -154.23 eV/cell
- ΔE_f: -0.541 eV per atom

---

Number 1: calculated volume 199 Å³ per cell. Number 2: calculated volume 1038 Å³ per cell. Number 3: calculated volume 222 Å³ per cell. Number 4: calculated volume 644 Å³ per cell. Number 5: calculated volume 189 Å³ per cell. Number 6: calculated volume 94 Å³ per cell. Number 7: calculated volume 643 Å³ per cell. Number 8: calculated volume 404 Å³ per cell. Number 9: calculated volume 106 Å³ per cell. Number 10: calculated volume 422 Å³ per cell. Number 11: calculated volume 168 Å³ per cell. Number 12: calculated volume 275 Å³ per cell. Number 13: calculated volume 231 Å³ per cell. Number 14: calculated volume 407 Å³ per cell. Number 15: calculated volume 183 Å³ per cell. Number 16: calculated volume 757 Å³ per cell. Number 17: calculated volume 642 Å³ per cell. Number 18: calculated volume 612 Å³ per cell. Number 19: calculated volume 564 Å³ per cell. Number 20: calculated volume 526 Å³ per cell.